Entry 1:
Below is NaBeCrRu2 after structural relaxation, with properties calculated at the GGA-PBE level.

Geometry as CIF:
```
data_NaBeCrRu2
_symmetry_space_group_name_H-M 'P 4/m m m'
_symmetry_Int_Tables_number 123
_symmetry_space_group_name_Hall '-P 4 2'
_cell_length_a 4.2098
_cell_length_b 4.2098
_cell_length_c 4.1059
_cell_angle_alpha 90.00
_cell_angle_beta 90.00
_cell_angle_gamma 90.00
loop_
_atom_site_label
_atom_site_type_symbol
_atom_site_fract_x
_atom_site_fract_y
_atom_site_fract_z
Na1 Na 0.0000 0.0000 0.0000
Be1 Be 0.5000 0.5000 0.5000
Cr1 Cr 0.5000 0.5000 0.0000
Ru1 Ru 0.0000 0.5000 0.5000
```

Values from the calculation:
* formation energy from the elements: 1.00 eV/atom
* theoretical density: 6.53 g/cm3

Entry 2:
Below is LiBiBPt2 after structural relaxation, with properties calculated at the GGA-PBE level.

Geometry as CIF:
```
data_LiBiBPt2
_symmetry_space_group_name_H-M 'P 4/m m m'
_symmetry_Int_Tables_number 123
_symmetry_space_group_name_Hall '-P 4 2'
_cell_length_a 4.2263
_cell_length_b 4.2263
_cell_length_c 4.6299
_cell_angle_alpha 90.00
_cell_angle_beta 90.00
_cell_angle_gamma 90.00
loop_
_atom_site_label
_atom_site_type_symbol
_atom_site_fract_x
_atom_site_fract_y
_atom_site_fract_z
Li1 Li 0.0000 0.0000 0.0000
Bi1 Bi 0.5000 0.5000 0.0000
B1 B 0.0000 0.0000 0.5000
Pt1 Pt 0.0000 0.5000 0.5000
```

Values from the calculation:
* formation energy from the elements: -0.24 eV/atom
* theoretical density: 12.39 g/cm3

Entry 3:
Below is LaPr7Er2 after structural relaxation, with properties calculated at the GGA-PBE level.

Geometry as CIF:
```
data_LaPr7Er2
_symmetry_space_group_name_H-M 'C m m m'
_symmetry_Int_Tables_number 65
_symmetry_space_group_name_Hall '-C 2 2'
_cell_length_a 9.0708
_cell_length_b 16.2302
_cell_length_c 5.8418
_cell_angle_alpha 90.00
_cell_angle_beta 90.00
_cell_angle_gamma 90.00
loop_
_atom_site_label
_atom_site_type_symbol
_atom_site_fract_x
_atom_site_fract_y
_atom_site_fract_z
La1 La 0.0000 0.0000 0.0000
Pr1 Pr 0.0000 0.2324 0.0000
Pr2 Pr 0.0000 0.5000 0.5000
Pr3 Pr 0.1803 0.1177 0.5000
Er1 Er 0.0000 0.2967 0.5000
```

Values from the calculation:
* formation energy from the elements: 0.62 eV/atom
* theoretical density: 5.64 g/cm3
* polymorph energy (0 for the lowest one): 5.97 eV/f.u.

Entry 4:
Below is Ta2ReRh after structural relaxation, with properties calculated at the GGA-PBE level.

Geometry as CIF:
```
data_Ta2ReRh
_symmetry_space_group_name_H-M 'P 4/m m m'
_symmetry_Int_Tables_number 123
_symmetry_space_group_name_Hall '-P 4 2'
_cell_length_a 3.2240
_cell_length_b 3.2240
_cell_length_c 6.2997
_cell_angle_alpha 90.00
_cell_angle_beta 90.00
_cell_angle_gamma 90.00
loop_
_atom_site_label
_atom_site_type_symbol
_atom_site_fract_x
_atom_site_fract_y
_atom_site_fract_z
Ta1 Ta 0.0000 0.0000 0.2457
Re1 Re 0.5000 0.5000 0.0000
Rh1 Rh 0.5000 0.5000 0.5000
```

Values from the calculation:
* formation energy from the elements: -0.36 eV/atom
* theoretical density: 16.51 g/cm3

Entry 5:
Below is PIrRh3 after structural relaxation, with properties calculated at the GGA-PBE level.

Geometry as CIF:
```
data_PIrRh3
_symmetry_space_group_name_H-M 'P m -3 m'
_symmetry_Int_Tables_number 221
_symmetry_space_group_name_Hall '-P 4 2 3'
_cell_length_a 4.3186
_cell_length_b 4.3186
_cell_length_c 4.3186
_cell_angle_alpha 90.00
_cell_angle_beta 90.00
_cell_angle_gamma 90.00
loop_
_atom_site_label
_atom_site_type_symbol
_atom_site_fract_x
_atom_site_fract_y
_atom_site_fract_z
P1 P 0.0000 0.0000 0.0000
Ir1 Ir 0.5000 0.5000 0.5000
Rh1 Rh 0.0000 0.0000 0.5000
```

Values from the calculation:
* formation energy from the elements: 0.48 eV/atom
* theoretical density: 10.97 g/cm3

Entry 6:
Below is MnTeAu2 after structural relaxation, with properties calculated at the GGA-PBE level.

Geometry as CIF:
```
data_MnTeAu2
_symmetry_space_group_name_H-M 'A m m 2'
_symmetry_Int_Tables_number 38
_symmetry_space_group_name_Hall 'A 2 -2'
_cell_length_a 3.5301
_cell_length_b 3.5419
_cell_length_c 13.4116
_cell_angle_alpha 90.00
_cell_angle_beta 90.00
_cell_angle_gamma 90.00
loop_
_atom_site_label
_atom_site_type_symbol
_atom_site_fract_x
_atom_site_fract_y
_atom_site_fract_z
Mn1 Mn 0.0000 0.0000 0.0000
Te1 Te 0.5000 0.0000 0.3879
Au1 Au 0.0000 0.0000 0.2087
Au2 Au 0.5000 0.0000 0.6075
```

Values from the calculation:
* formation energy (no corrections): 77.0 meV per atom
* theoretical density: 11.42 g/cm3

Entry 7:
Below is HfTiF2 after structural relaxation, with properties calculated at the GGA-PBE level.

Geometry as CIF:
```
data_HfTiF2
_symmetry_space_group_name_H-M 'F m -3 m'
_symmetry_Int_Tables_number 225
_symmetry_space_group_name_Hall '-F 4 2 3'
_cell_length_a 6.0624
_cell_length_b 6.0624
_cell_length_c 6.0624
_cell_angle_alpha 90.00
_cell_angle_beta 90.00
_cell_angle_gamma 90.00
loop_
_atom_site_label
_atom_site_type_symbol
_atom_site_fract_x
_atom_site_fract_y
_atom_site_fract_z
Hf1 Hf 0.0000 0.0000 0.0000
Ti1 Ti 0.0000 0.0000 0.5000
F1 F 0.2500 0.2500 0.2500
```

Values from the calculation:
* formation energy (no corrections): -829.3 meV per atom
* theoretical density: 7.88 g/cm3
* polymorph energy (0 for the lowest one): 3.16 eV/f.u.

Entry 8:
Below is HgSbF5 after structural relaxation, with properties calculated at the GGA-PBE level.

Geometry as CIF:
```
data_HgSbF5
_symmetry_space_group_name_H-M 'C 1 2/c 1'
_symmetry_Int_Tables_number 15
_symmetry_space_group_name_Hall '-C 2yc'
_cell_length_a 7.4830
_cell_length_b 7.7065
_cell_length_c 7.9862
_cell_angle_alpha 90.00
_cell_angle_beta 95.77
_cell_angle_gamma 90.00
loop_
_atom_site_label
_atom_site_type_symbol
_atom_site_fract_x
_atom_site_fract_y
_atom_site_fract_z
Hg1 Hg 0.0000 0.0000 0.0000
Sb1 Sb 0.0000 0.4574 0.2500
F1 F 0.0000 0.1129 0.7500
F2 F 0.1342 0.2640 0.1556
F3 F 0.1800 0.4247 0.4741
```

Values from the calculation:
* formation energy (no corrections): -1930.9 meV per atom
* theoretical density: 6.05 g/cm3

Entry 9:
Below is Nd3PbSN after structural relaxation, with properties calculated at the GGA-PBE level.

Geometry as CIF:
```
data_Nd3PbSN
_symmetry_space_group_name_H-M 'P 1 21/m 1'
_symmetry_Int_Tables_number 11
_symmetry_space_group_name_Hall '-P 2yb'
_cell_length_a 8.9845
_cell_length_b 4.1406
_cell_length_c 9.5470
_cell_angle_alpha 90.00
_cell_angle_beta 104.25
_cell_angle_gamma 90.00
loop_
_atom_site_label
_atom_site_type_symbol
_atom_site_fract_x
_atom_site_fract_y
_atom_site_fract_z
Nd1 Nd 0.0616 0.2500 0.3396
Nd2 Nd 0.3375 0.2500 0.9814
Nd3 Nd 0.3900 0.7500 0.6532
Pb1 Pb 0.3092 0.7500 0.2781
S1 S 0.1550 0.2500 0.6441
N1 N 0.4068 0.7500 0.8930
```

Values from the calculation:
* formation energy (no corrections): -1218.9 meV per atom
* theoretical density: 6.62 g/cm3

Entry 10:
Below is Tl3WI after structural relaxation, with properties calculated at the GGA-PBE level.

Geometry as CIF:
```
data_Tl3WI
_symmetry_space_group_name_H-M 'P m -3 m'
_symmetry_Int_Tables_number 221
_symmetry_space_group_name_Hall '-P 4 2 3'
_cell_length_a 6.3327
_cell_length_b 6.3327
_cell_length_c 6.3327
_cell_angle_alpha 90.00
_cell_angle_beta 90.00
_cell_angle_gamma 90.00
loop_
_atom_site_label
_atom_site_type_symbol
_atom_site_fract_x
_atom_site_fract_y
_atom_site_fract_z
Tl1 Tl 0.0000 0.0000 0.5000
W1 W 0.5000 0.5000 0.5000
I1 I 0.0000 0.0000 0.0000
```

Values from the calculation:
* formation energy (no corrections): 1524.4 meV per atom
* theoretical density: 6.04 g/cm3
* polymorph energy (0 for the lowest one): 4.39 eV/f.u.

Entry 11:
Below is RbLa after structural relaxation, with properties calculated at the GGA-PBE level.

Geometry as CIF:
```
data_RbLa
_symmetry_space_group_name_H-M 'F m -3 m'
_symmetry_Int_Tables_number 225
_symmetry_space_group_name_Hall '-F 4 2 3'
_cell_length_a 7.2021
_cell_length_b 7.2021
_cell_length_c 7.2021
_cell_angle_alpha 90.00
_cell_angle_beta 90.00
_cell_angle_gamma 90.00
loop_
_atom_site_label
_atom_site_type_symbol
_atom_site_fract_x
_atom_site_fract_y
_atom_site_fract_z
Rb1 Rb 0.0000 0.0000 0.0000
La1 La 0.0000 0.0000 0.5000
```

Values from the calculation:
* formation energy from the elements: 1.10 eV/atom
* theoretical density: 3.99 g/cm3

Entry 12:
Below is Ba2Be2BiO6 after structural relaxation, with properties calculated at the GGA-PBE level.

Geometry as CIF:
```
data_Ba2Be2BiO6
_symmetry_space_group_name_H-M 'R -3 m'
_symmetry_Int_Tables_number 166
_symmetry_space_group_name_Hall '-R 3 2"'
_cell_length_a 5.6805
_cell_length_b 5.6805
_cell_length_c 17.5622
_cell_angle_alpha 90.00
_cell_angle_beta 90.00
_cell_angle_gamma 120.00
loop_
_atom_site_label
_atom_site_type_symbol
_atom_site_fract_x
_atom_site_fract_y
_atom_site_fract_z
Ba1 Ba 0.0000 0.0000 0.2167
Be1 Be 0.0000 0.0000 0.4147
Bi1 Bi 0.0000 0.0000 0.0000
O1 O 0.0171 0.5085 0.2497
```

Values from the calculation:
* formation energy (no corrections): -2219.4 meV per atom
* theoretical density: 6.07 g/cm3